DFT (GGA-PBE) results for an optimized crystal structure of BaRh3.

Cell and atoms, written as POSCAR:
```
BaRh3
1.0
2.9967 0.0000 0.0000
0.0000 4.3716 0.0000
0.0000 0.0000 6.2810
Ba Rh
1 3
Direct
0.0000 0.0000 0.0000
0.0000 0.5000 0.3813
0.5000 0.0000 0.4823
0.5000 0.5000 0.7184
```

Properties
DFT total energy   -5.670 eV/atom
Calculated density   9.00 Mg/m³
Symmetry   Pmm2, No. 25
E_form   0.324 eV/atom